(one)
First-principles (PBE) data for an optimized crystal structure of YHgP, as listed in the Alexandria database.

Geometry as POSCAR:
```
YHgP
1.0
-3.332 1.719 -2.873
-1.038 -3.510 2.986
-1.765 4.610 4.805
Y P Hg
2 2 2
direct
0.000 0.000 0.000
0.000 0.000 0.500
0.667 0.333 0.250
0.333 0.667 0.750
0.333 0.667 0.250
0.667 0.333 0.750
```

Summary:
* magnetic moment: 0.000 Bohr magnetons per cell
* theoretical density: 8.0 g/cm³
* crystal system: hexagonal

=====

(two)
First-principles (PBE) data for an optimized crystal structure of YHgP, as listed in the Alexandria database.

Geometry as POSCAR:
```
YHgP
1.0
-2.048 2.674 -2.211
-1.305 -3.801 0.283
-5.804 2.630 8.555
Hg P Y
2 2 2
direct
0.333 0.667 0.069
0.667 0.333 0.569
0.667 0.333 0.917
0.333 0.667 0.417
0.000 0.000 0.784
0.000 0.000 0.284
```

Summary:
* magnetic moment: 0.000 Bohr magnetons per cell
* theoretical density: 7.1 g/cm³
* crystal system: hexagonal

=====

(three)
First-principles (PBE) data for an optimized crystal structure of YHgP, as listed in the Alexandria database.

Geometry as POSCAR:
```
YHgP
1.0
-3.138 -1.683 -3.086
-4.590 0.884 0.588
-2.228 2.938 -2.933
Hg Y P
1 1 1
direct
0.500 0.500 0.500
0.000 0.000 0.000
0.750 0.750 0.750
```

Summary:
* magnetic moment: 0.000 Bohr magnetons per cell
* theoretical density: 7.2 g/cm³
* crystal system: cubic

=====

Which of them is most stable, and which least? Most stable: (two); least stable: (one).

=====

(one)
First-principles (PBE) data for an optimized crystal structure of YHgP3, as listed in the Alexandria database.

Geometry as POSCAR:
```
YHgP3
1.0
-0.462 5.087 -1.396
-0.539 -1.439 -5.067
-5.247 -0.300 0.643
P Hg Y
3 1 1
direct
0.000 0.500 0.000
0.000 0.000 0.500
0.500 0.000 0.000
0.500 0.500 0.500
0.000 0.000 0.000
```

Summary:
* magnetic moment: 0.000 Bohr magnetons per cell
* theoretical density: 4.3 g/cm³
* crystal system: cubic

=====

(two)
First-principles (PBE) data for an optimized crystal structure of YHgP3, as listed in the Alexandria database.

Geometry as POSCAR:
```
YHgP3
1.0
4.937 0.000 0.000
0.000 4.937 0.000
0.000 0.000 4.937
Hg P Y
1 3 1
direct
0.000 0.000 0.000
0.000 0.500 0.000
0.000 0.000 0.500
0.500 0.000 0.000
0.500 0.500 0.500
```

Summary:
* magnetic moment: 0.000 Bohr magnetons per cell
* theoretical density: 5.3 g/cm³
* crystal system: cubic

=====

Which of them is most stable, and which least? Most stable: (two); least stable: (one).

=====

(one)
First-principles (PBE) data for an optimized crystal structure of YHg3P, as listed in the Alexandria database.

Geometry as POSCAR:
```
YHg3P
1.0
-0.275 4.979 -0.998
-4.247 -0.773 -2.687
-2.783 0.688 4.200
P Hg Y
1 3 1
direct
0.000 0.000 0.000
0.500 0.000 0.000
0.000 0.500 0.000
0.000 0.000 0.500
0.500 0.500 0.500
```

Summary:
* magnetic moment: 0.000 Bohr magnetons per cell
* theoretical density: 9.1 g/cm³
* crystal system: cubic

=====

(two)
First-principles (PBE) data for an optimized crystal structure of YHg3P, as listed in the Alexandria database.

Geometry as POSCAR:
```
YHg3P
1.0
-0.468 4.642 -3.586
-5.350 1.138 2.171
2.406 3.433 4.130
Y P Hg
1 1 3
direct
0.000 0.000 0.000
0.500 0.500 0.500
0.000 0.000 0.500
0.500 0.000 0.000
0.000 0.500 0.000
```

Summary:
* magnetic moment: 1.243 Bohr magnetons per cell
* theoretical density: 5.9 g/cm³
* crystal system: cubic

=====

Which of them is most stable, and which least? Most stable: (one); least stable: (two).

=====

(one)
First-principles (PBE) data for an optimized crystal structure of ZnHgP2, as listed in the Alexandria database.

Geometry as POSCAR:
```
ZnHgP2
1.0
-3.420 0.042 -3.065
2.326 -3.960 -0.050
-2.370 -1.426 2.626
Hg P Zn
1 2 1
direct
0.000 0.500 0.500
0.500 0.500 0.000
0.000 0.000 0.000
0.500 0.000 0.500
```

Summary:
* magnetic moment: 0.000 Bohr magnetons per cell
* theoretical density: 7.3 g/cm³
* crystal system: orthorhombic

=====

(two)
First-principles (PBE) data for an optimized crystal structure of ZnHgP2, as listed in the Alexandria database.

Geometry as POSCAR:
```
ZnHgP2
1.0
-3.601 0.259 -4.355
-2.151 -2.667 -4.502
-2.818 -1.592 3.925
Zn P Hg
1 2 1
direct
0.750 0.750 0.750
0.980 0.980 0.880
0.520 0.520 0.620
0.250 0.250 0.250
```

Summary:
* magnetic moment: 0.000 Bohr magnetons per cell
* theoretical density: 6.3 g/cm³
* crystal system: monoclinic

=====

(three)
First-principles (PBE) data for an optimized crystal structure of ZnHgP2, as listed in the Alexandria database.

Geometry as POSCAR:
```
ZnHgP2
1.0
3.151 0.000 0.000
0.000 3.151 0.000
0.000 0.000 7.464
P Hg Zn
2 1 1
direct
0.500 0.500 0.212
0.000 0.000 0.088
0.500 0.500 0.733
0.000 0.000 0.467
```

Summary:
* magnetic moment: 0.000 Bohr magnetons per cell
* theoretical density: 7.3 g/cm³
* crystal system: tetragonal

=====

Which of them is most stable, and which least? Most stable: (two); least stable: (one).

=====

(one)
First-principles (PBE) data for an optimized crystal structure of ZnHgP2, as listed in the Alexandria database.

Geometry as POSCAR:
```
ZnHgP2
1.0
-1.741 2.385 1.368
-1.450 -2.172 1.941
5.145 0.945 4.903
Hg P Zn
1 2 1
direct
0.500 0.500 0.726
0.000 0.000 0.176
0.500 0.500 0.091
0.000 0.000 0.507
```

Summary:
* magnetic moment: 0.000 Bohr magnetons per cell
* theoretical density: 7.2 g/cm³
* crystal system: tetragonal

=====

(two)
First-principles (PBE) data for an optimized crystal structure of ZnHgP2, as listed in the Alexandria database.

Geometry as POSCAR:
```
ZnHgP2
1.0
2.833 0.020 0.000
-0.544 2.780 0.000
0.000 0.000 9.931
Hg P Zn
1 2 1
direct
0.500 0.500 0.750
0.000 0.000 0.433
0.000 0.000 0.067
0.500 0.500 0.250
```

Summary:
* magnetic moment: 0.000 Bohr magnetons per cell
* theoretical density: 7.0 g/cm³
* crystal system: orthorhombic

=====

Which of them is most stable, and which least? Most stable: (one); least stable: (two).

=====

(one)
First-principles (PBE) data for an optimized crystal structure of ZnHgP, as listed in the Alexandria database.

Geometry as POSCAR:
```
ZnHgP
1.0
2.009 -3.480 0.000
2.009 3.480 0.000
0.000 0.000 4.415
Zn Hg P
1 1 1
direct
0.667 0.333 0.559
0.000 0.000 0.005
0.333 0.667 0.436
```

Summary:
* magnetic moment: 0.000 Bohr magnetons per cell
* theoretical density: 8.0 g/cm³
* crystal system: trigonal

=====

(two)
First-principles (PBE) data for an optimized crystal structure of ZnHgP, as listed in the Alexandria database.

Geometry as POSCAR:
```
ZnHgP
1.0
-2.379 -1.430 3.511
-3.796 -2.280 -0.648
-0.177 -4.369 0.953
P Zn Hg
1 1 1
direct
0.750 0.750 0.750
0.000 0.000 0.000
0.500 0.500 0.500
```

Summary:
* magnetic moment: 0.000 Bohr magnetons per cell
* theoretical density: 7.8 g/cm³
* crystal system: cubic

=====

(three)
First-principles (PBE) data for an optimized crystal structure of ZnHgP, as listed in the Alexandria database.

Geometry as POSCAR:
```
ZnHgP
1.0
-1.726 1.726 5.749
1.726 -1.726 5.749
1.726 1.726 -5.749
Zn P Hg
1 1 1
direct
0.771 0.771 0.000
0.228 0.228 0.000
0.001 0.001 0.000
```

Summary:
* magnetic moment: 0.000 Bohr magnetons per cell
* theoretical density: 7.2 g/cm³
* crystal system: tetragonal

=====

Which of them is most stable, and which least? Most stable: (one); least stable: (two).